A plane-wave DFT calculation with GGA-PBE was carried out for crystalline Dy8ZnSe4S3 at its relaxed geometry.

Cell: 7.9983 7.9983 19.9383 Å, 90.00 90.00 120.00°
Space group R-3m (No. 166, hexagonal axes)
Inequivalent atoms, fractional coordinates:
Dy: 0.0000 0.0000 0.2424 [6 per cell]
Dy: 0.0013 0.5007 0.7552 [18 per cell]
Zn: 0.0000 0.0000 0.5000 [3 per cell]
Se: 0.0000 0.0000 0.0000 [3 per cell]
Se: 0.0000 0.5000 0.0000 [9 per cell]
S: 0.0000 0.5000 0.5000 [9 per cell]

Values from the calculation:
Energy relative to the elements, uncorrected = -2580 kJ/mol of formula units
DOS(E_F) = 24.20 states/eV per cell
Crystal system = trigonal
Spin magnetization = 0.000 μB per atom
E_tot = -5.6970 eV per atom

=====

A plane-wave DFT calculation with GGA-PBE was carried out for crystalline AgP2SCl at its relaxed geometry.

Cell: 4.9481 4.9481 4.7729 Å, 90.00 90.00 90.00°
Space group P4/mmm (No. 123)
Inequivalent atoms, fractional coordinates:
Ag: 0.0000 0.0000 0.0000 [1 per cell]
P: 0.0000 0.5000 0.0000 [2 per cell]
S: 0.0000 0.0000 0.5000 [1 per cell]
Cl: 0.5000 0.5000 0.5000 [1 per cell]

Values from the calculation:
Distance to the lowest polymorph of the same formula = 0.3050 eV/atom
Energy relative to the elements, uncorrected = 572 kJ/mol of formula units
DOS(E_F) = 5.66 states/eV per cell
Crystal system = tetragonal
Spin magnetization = 0.212 μB per atom
E_tot = -2.7442 eV per atom

=====

A plane-wave DFT calculation with GGA-PBE was carried out for crystalline TmSc2Cu at its relaxed geometry.

Cell: 6.3764 9.3705 6.0513 Å, 90.00 90.00 90.00°
Space group Pnma (No. 62)
Inequivalent atoms, fractional coordinates:
Tm: 0.0055 0.2500 0.1186 [4 per cell]
Sc: 0.1829 0.0512 0.6880 [8 per cell]
Cu: 0.0897 0.7500 0.4354 [4 per cell]

Values from the calculation:
Distance to the lowest polymorph of the same formula = 0.0000 eV/atom
ΔE_f = -0.48 eV/f.u.
DOS(E_F) = 19.51 states/eV per cell
Crystal system = orthorhombic
Spin magnetization = 0.000 μB per atom
E_tot = -5.4271 eV per atom

=====

A plane-wave DFT calculation with GGA-PBE was carried out for crystalline AcCu4Rh2 at its relaxed geometry.

Cell: 8.4097 6.5566 5.2936 Å, 90.00 128.89 90.00°
Space group C2/m (No. 12)
Inequivalent atoms, fractional coordinates:
Ac: 0.0000 0.0000 0.0000 [2 per cell]
Cu: 0.1897 0.1895 0.6901 [8 per cell]
Rh: 0.0007 0.5000 0.2509 [4 per cell]

Values from the calculation:
ΔE_f = -1.02 eV/f.u.
DOS(E_F) = 11.89 states/eV per cell
Crystal system = monoclinic
Spin magnetization = 0.113 μB per atom
E_tot = -5.1734 eV per atom

=====

A plane-wave DFT calculation with GGA-PBE was carried out for crystalline EuInHgAs at its relaxed geometry.

Cell: 7.4862 7.4862 7.4862 Å, 90.00 90.00 90.00°
Space group F-43m (No. 216)
Inequivalent atoms, fractional coordinates:
Eu: 0.0000 0.0000 0.0000 [4 per cell]
In: 0.0000 0.0000 0.5000 [4 per cell]
Hg: 0.2500 0.2500 0.2500 [4 per cell]
As: 0.2500 0.2500 0.7500 [4 per cell]

Values from the calculation:
ΔE_f = -1.76 eV/f.u.
DOS(E_F) = 17.42 states/eV per cell
Crystal system = cubic
Spin magnetization = 1.761 μB per atom
E_tot = -4.9310 eV per atom

=====

A plane-wave DFT calculation with GGA-PBE was carried out for crystalline AlFeTe2 at its relaxed geometry.

Cell: 3.9773 3.9773 20.1152 Å, 90.00 90.00 120.00°
Space group R-3m (No. 166, hexagonal axes)
Inequivalent atoms, fractional coordinates:
Al: 0.0000 0.0000 0.0000 [3 per cell]
Fe: 0.0000 0.0000 0.5000 [3 per cell]
Te: 0.0000 0.0000 0.2471 [6 per cell]

Values from the calculation:
Energy relative to the elements, uncorrected = 13 kJ/mol of formula units
DOS(E_F) = 11.43 states/eV per cell
Crystal system = trigonal
Spin magnetization = 0.825 μB per atom
E_tot = -4.5897 eV per atom

=====

A plane-wave DFT calculation with GGA-PBE was carried out for crystalline Ac6Te2PbSe3 at its relaxed geometry.

Cell: 20.1938 4.6349 9.2602 Å, 90.00 103.26 90.00°
Space group C2/m (No. 12)
Inequivalent atoms, fractional coordinates:
Ac: 0.0034 0.0000 0.2443 [4 per cell]
Ac: 0.1599 0.5000 0.0940 [4 per cell]
Ac: 0.1686 0.5000 0.5680 [4 per cell]
Te: 0.1692 0.0000 0.8355 [4 per cell]
Pb: 0.0000 0.5000 0.5000 [2 per cell]
Se: 0.0000 0.5000 0.0000 [2 per cell]
Se: 0.1672 0.0000 0.3298 [4 per cell]

Values from the calculation:
Energy relative to the elements, uncorrected = -1773 kJ/mol of formula units
DOS(E_F) = 11.76 states/eV per cell
Crystal system = monoclinic
Spin magnetization = 0.000 μB per atom
E_tot = -5.2890 eV per atom

=====

A plane-wave DFT calculation with GGA-PBE was carried out for crystalline PrYPt at its relaxed geometry.

Cell: 3.5750 6.8819 7.3207 Å, 106.52 90.07 104.99°
Space group P-1 (No. 2)
Inequivalent atoms, fractional coordinates:
Pr: 0.1327 0.2640 0.0656 [2 per cell]
Y: 0.1319 0.2641 0.5622 [2 per cell]
Pt: 0.4910 0.9834 0.2711 [2 per cell]

Values from the calculation:
Distance to the lowest polymorph of the same formula = 0.1357 eV/atom
ΔE_f = -2.17 eV/f.u.
DOS(E_F) = 6.74 states/eV per cell
Crystal system = triclinic
Spin magnetization = 0.000 μB per atom
E_tot = -6.4844 eV per atom

=====

A plane-wave DFT calculation with GGA-PBE was carried out for crystalline Sr3Zn4In2 at its relaxed geometry.

Cell: 11.7170 4.7855 9.2147 Å, 90.00 110.36 90.00°
Space group C2/m (No. 12)
Inequivalent atoms, fractional coordinates:
Sr: 0.0000 0.0000 0.0000 [2 per cell]
Sr: 0.1437 0.5000 0.6865 [4 per cell]
Zn: 0.0816 0.0000 0.4220 [4 per cell]
Zn: 0.2276 0.5000 0.0582 [4 per cell]
In: 0.1490 0.5000 0.3139 [4 per cell]

Values from the calculation:
ΔE_f = -2.77 eV/f.u.
DOS(E_F) = 9.66 states/eV per cell
Crystal system = monoclinic
Spin magnetization = 0.000 μB per atom
E_tot = -2.0436 eV per atom

=====

A plane-wave DFT calculation with GGA-PBE was carried out for crystalline CeDyCdBi at its relaxed geometry.

Cell: 7.6894 7.6894 7.6894 Å, 90.00 90.00 90.00°
Space group F-43m (No. 216)
Inequivalent atoms, fractional coordinates:
Ce: 0.0000 0.0000 0.0000 [4 per cell]
Dy: 0.0000 0.0000 0.5000 [4 per cell]
Cd: 0.2500 0.2500 0.2500 [4 per cell]
Bi: 0.2500 0.2500 0.7500 [4 per cell]

Values from the calculation:
ΔE_f = -1.53 eV/f.u.
DOS(E_F) = 38.95 states/eV per cell
Crystal system = cubic
Spin magnetization = 0.364 μB per atom
E_tot = -4.2164 eV per atom

=====

A plane-wave DFT calculation with GGA-PBE was carried out for crystalline SrThZnHg at its relaxed geometry.

Cell: 7.6745 7.6745 7.6745 Å, 90.00 90.00 90.00°
Space group F-43m (No. 216)
Inequivalent atoms, fractional coordinates:
Sr: 0.0000 0.0000 0.0000 [4 per cell]
Th: 0.0000 0.0000 0.5000 [4 per cell]
Zn: 0.2500 0.2500 0.7500 [4 per cell]
Hg: 0.2500 0.2500 0.2500 [4 per cell]

Values from the calculation:
ΔE_f = -0.60 eV/f.u.
DOS(E_F) = 14.82 states/eV per cell
Crystal system = cubic
Spin magnetization = 0.000 μB per atom
E_tot = -2.8204 eV per atom

=====

A plane-wave DFT calculation with GGA-PBE was carried out for crystalline RbTa2ReTc at its relaxed geometry.

Cell: 4.8941 4.8941 5.5021 Å, 90.00 90.00 90.00°
Space group P4/mmm (No. 123)
Inequivalent atoms, fractional coordinates:
Rb: 0.0000 0.0000 0.0000 [1 per cell]
Ta: 0.0000 0.5000 0.5000 [2 per cell]
Re: 0.0000 0.0000 0.5000 [1 per cell]
Tc: 0.5000 0.5000 0.0000 [1 per cell]

Values from the calculation:
ΔE_f = 11.58 eV/f.u.
DOS(E_F) = 4.01 states/eV per cell
Crystal system = tetragonal
Spin magnetization = 0.360 μB per atom
E_tot = -7.1815 eV per atom

=====

Q: Look up the spin magnetization of the third one.
A: 0.000 μB per atom